No. 1
La4ErCd | PBE-GGA | relaxed

Calculated values
As for the energy above the most stable polymorph in this dataset: 0.00 eV/f.u. The calculation puts the energy of formation from the pure elements at -96 meV per atom. Its crystal system is tetragonal. The density of states at the Fermi level is 8.3 states/eV/f.u. The symmetry is No. 123.

```
La4ErCd
1.0
3.753 -0.001 0.000
0.001 3.753 0.000
0.000 0.000 14.331
La Er Cd
4 1 1
Direct
0.500 0.500 0.829
0.500 0.500 0.171
0.000 0.000 0.650
0.000 0.000 0.350
0.000 0.000 0.000
0.500 0.500 0.500
```

---

No. 2
La2ErCd | PBE-GGA | relaxed

Calculated values
As for the energy above the most stable polymorph in this dataset: 0.32 eV/f.u. The calculation puts the energy of formation from the pure elements at -71 meV per atom. Its crystal system is cubic. The density of states at the Fermi level is 5.2 states/eV/f.u. The symmetry is No. 225.

```
La2ErCd
1.0
-0.517 -5.001 -2.548
3.904 -1.698 -3.694
3.496 -4.217 1.332
Cd La Er
1 2 1
Direct
0.500 0.500 0.500
0.250 0.250 0.250
0.750 0.750 0.750
0.000 0.000 0.000
```

---

No. 3
La5Er2Cd | PBE-GGA | relaxed

Calculated values
The calculation puts the energy of formation from the pure elements at -32 meV per atom. Its crystal system is triclinic. The density of states at the Fermi level is 9.1 states/eV/f.u. The symmetry is No. 1.

```
La5Er2Cd
1.0
6.531 0.967 -2.801
-2.497 6.087 -2.802
-0.560 -0.973 7.062
La Er Cd
5 2 1
Direct
0.283 0.296 0.510
0.307 0.793 0.998
0.755 0.249 0.998
0.765 0.777 0.494
0.274 0.274 0.001
0.245 0.766 0.457
0.794 0.300 0.539
0.798 0.768 0.004
```

---

No. 4
La12ErCd3 | PBE-GGA | relaxed

Calculated values
The calculation puts the energy of formation from the pure elements at -95 meV per atom. Its crystal system is tetragonal. The density of states at the Fermi level is 23.0 states/eV/f.u. The symmetry is No. 123.

```
La12ErCd3
1.0
-1.874 -3.384 3.318
4.608 -0.466 2.127
-4.461 15.210 12.995
La Er Cd
12 1 3
Direct
0.500 0.500 0.000
0.500 0.500 0.251
0.500 0.500 0.500
0.500 0.500 0.749
0.500 0.000 0.128
0.500 0.000 0.377
0.500 0.000 0.623
0.500 0.000 0.872
0.000 0.500 0.128
0.000 0.500 0.377
0.000 0.500 0.623
0.000 0.500 0.872
0.000 0.000 0.000
0.000 0.000 0.254
0.000 0.000 0.500
0.000 0.000 0.746
```

---

No. 5
LaEr4Cd | PBE-GGA | relaxed

Calculated values
As for the energy above the most stable polymorph in this dataset: 1.44 eV/f.u. The calculation puts the energy of formation from the pure elements at 159 meV per atom. Its crystal system is orthorhombic. The density of states at the Fermi level is 7.7 states/eV/f.u. The symmetry is No. 36.

```
LaEr4Cd
1.0
-0.595 -0.761 5.413
-3.708 -8.250 -1.568
7.137 -2.752 -2.395
La Er Cd
2 8 2
Direct
0.875 0.830 0.749
0.125 0.330 0.251
0.902 0.195 0.803
0.098 0.695 0.197
0.479 0.965 0.958
0.521 0.465 0.042
0.741 0.492 0.483
0.259 0.992 0.517
0.668 0.148 0.337
0.332 0.648 0.663
0.664 0.803 0.327
0.336 0.303 0.673
```

---

No. 6
Li2LaErCd4 | PBE-GGA | relaxed

Calculated values
The calculation puts the energy of formation from the pure elements at -256 meV per atom. Its crystal system is trigonal. The density of states at the Fermi level is 6.2 states/eV/f.u. The symmetry is No. 166.

```
Li2LaErCd4
1.0
-1.932 -4.219 2.199
1.885 -1.652 4.482
-5.651 2.766 6.339
Li La Er Cd
2 1 1 4
Direct
0.752 0.752 0.743
0.248 0.248 0.257
0.000 0.000 0.000
0.500 0.500 0.500
0.380 0.380 0.861
0.871 0.871 0.387
0.129 0.129 0.613
0.620 0.620 0.139
```

---

No. 7
Li2La2ErCd5 | PBE-GGA | relaxed

Calculated values
The calculation puts the energy of formation from the pure elements at -296 meV per atom. Its crystal system is tetragonal. The density of states at the Fermi level is 7.5 states/eV/f.u. The symmetry is No. 127.

```
Li2La2ErCd5
1.0
-1.171 3.911 -0.099
-9.019 -2.840 -5.539
-5.374 -1.369 9.452
Li La Er Cd
4 4 2 10
Direct
0.000 0.115 0.615
0.000 0.885 0.385
0.000 0.615 0.885
0.000 0.385 0.115
0.000 0.681 0.181
0.000 0.319 0.819
0.000 0.181 0.319
0.000 0.819 0.681
0.000 0.000 0.000
0.000 0.500 0.500
0.500 0.213 0.058
0.500 0.787 0.942
0.500 0.058 0.787
0.500 0.713 0.442
0.500 0.942 0.213
0.500 0.287 0.558
0.500 0.558 0.713
0.500 0.442 0.287
0.500 0.500 0.000
0.500 0.000 0.500
```

---

No. 8
LaErLuCd | PBE-GGA | relaxed

Calculated values
The calculation puts the energy of formation from the pure elements at -49 meV per atom. Its crystal system is cubic. The density of states at the Fermi level is 4.7 states/eV/f.u. The symmetry is No. 216.

```
LaErLuCd
1.0
5.500 0.000 0.000
2.750 4.763 0.000
2.750 1.588 4.490
Cd Lu La Er
1 1 1 1
Direct
0.750 0.750 0.750
0.250 0.250 0.250
0.000 0.000 0.000
0.500 0.500 0.500
```

---

No. 9
LaErMgCd | PBE-GGA | relaxed

Calculated values
As for the energy above the most stable polymorph in this dataset: 0.02 eV/f.u. The calculation puts the energy of formation from the pure elements at -195 meV per atom. Its crystal system is cubic. The density of states at the Fermi level is 4.9 states/eV/f.u. The symmetry is No. 216.

```
LaErMgCd
1.0
5.437 0.000 0.000
2.719 4.709 0.000
2.719 1.570 4.439
Cd Mg La Er
1 1 1 1
Direct
0.750 0.750 0.750
0.250 0.250 0.250
0.000 0.000 0.000
0.500 0.500 0.500
```

---

No. 10
LaEr2MgCd4 | PBE-GGA | relaxed

Calculated values
The calculation puts the energy of formation from the pure elements at -262 meV per atom. Its crystal system is trigonal. The density of states at the Fermi level is 6.0 states/eV/f.u. The symmetry is No. 166.

```
LaEr2MgCd4
1.0
-1.071 -4.486 2.365
2.530 -1.317 4.327
-5.785 2.150 7.141
La Er Mg Cd
1 2 1 4
Direct
0.000 0.000 0.000
0.756 0.756 0.731
0.244 0.244 0.269
0.500 0.500 0.500
0.383 0.383 0.850
0.873 0.873 0.381
0.127 0.127 0.619
0.617 0.617 0.150
```

---

No. 11
LaErMg2Cd4 | PBE-GGA | relaxed

Calculated values
The calculation puts the energy of formation from the pure elements at -313 meV per atom. Its crystal system is trigonal. The density of states at the Fermi level is 3.0 states/eV/f.u. The symmetry is No. 166.

```
LaErMg2Cd4
1.0
5.152 0.000 0.000
2.576 4.462 0.000
2.576 1.487 8.497
La Er Mg Cd
1 1 2 4
Direct
0.000 0.000 0.000
0.500 0.500 0.500
0.751 0.751 0.747
0.249 0.249 0.253
0.380 0.380 0.861
0.872 0.872 0.385
0.128 0.128 0.615
0.620 0.620 0.139
```

---

No. 12
LaErMgCd | PBE-GGA | relaxed

Calculated values
As for the energy above the most stable polymorph in this dataset: 0.00 eV/f.u. The calculation puts the energy of formation from the pure elements at -199 meV per atom. Its crystal system is tetragonal. The density of states at the Fermi level is 4.6 states/eV/f.u. The symmetry is No. 99.

```
LaErMgCd
1.0
3.782 0.000 0.000
0.000 3.782 0.000
0.000 0.000 7.923
La Er Mg Cd
1 1 1 1
Direct
0.500 0.500 0.607
0.500 0.500 0.111
0.000 0.000 0.878
0.000 0.000 0.331
```

---

No. 13
NaLaErCd | PBE-GGA | relaxed

Calculated values
The calculation puts the energy of formation from the pure elements at 25 meV per atom. Its crystal system is cubic. The density of states at the Fermi level is 6.0 states/eV/f.u. The symmetry is No. 216.

```
NaLaErCd
1.0
5.517 0.000 0.000
2.758 4.778 0.000
2.758 1.593 4.504
Cd La Na Er
1 1 1 1
Direct
0.750 0.750 0.750
0.000 0.000 0.000
0.250 0.250 0.250
0.500 0.500 0.500
```

---

No. 14
La2NdEr2Cd5 | PBE-GGA | relaxed

Calculated values
The calculation puts the energy of formation from the pure elements at -214 meV per atom. Its crystal system is tetragonal. The density of states at the Fermi level is 6.6 states/eV/f.u. The symmetry is No. 127.

```
La2NdEr2Cd5
1.0
4.830 0.000 0.000
0.000 10.771 0.000
0.000 0.000 10.771
La Nd Er Cd
4 2 4 10
Direct
0.000 0.676 0.176
0.000 0.324 0.824
0.000 0.176 0.324
0.000 0.824 0.676
0.000 0.000 0.000
0.000 0.500 0.500
0.000 0.121 0.621
0.000 0.879 0.379
0.000 0.621 0.879
0.000 0.379 0.121
0.500 0.199 0.069
0.500 0.801 0.931
0.500 0.069 0.801
0.500 0.699 0.431
0.500 0.931 0.199
0.500 0.301 0.569
0.500 0.569 0.699
0.500 0.431 0.301
0.500 0.500 0.000
0.500 0.000 0.500
```

---

No. 15
LaErCdNi | PBE-GGA | relaxed

Calculated values
The calculation puts the energy of formation from the pure elements at -207 meV per atom. Its crystal system is cubic. The density of states at the Fermi level is 3.8 states/eV/f.u. The symmetry is No. 216.

```
LaErCdNi
1.0
-2.051 -4.505 1.511
2.777 -3.263 2.902
-1.241 -0.741 4.969
Cd La Ni Er
1 1 1 1
Direct
0.750 0.750 0.750
0.000 0.000 0.000
0.250 0.250 0.250
0.500 0.500 0.500
```

---

No. 16
La2ErCdO | PBE-GGA | relaxed

Calculated values
Its crystal system is tetragonal. As for the raw total energy: -26.75 eV per formula unit. The density of states at the Fermi level is 4.0 states/eV/f.u. The symmetry is No. 123.

```
La2ErCdO
1.0
-1.228 3.013 -3.355
-4.062 -2.948 -1.160
-2.864 2.611 3.393
La Er Cd O
2 1 1 1
Direct
0.000 0.000 0.500
0.000 0.500 0.000
0.500 0.000 0.000
0.500 0.500 0.500
0.000 0.000 0.000
```

---

No. 17
LaErCdPb | PBE-GGA | relaxed

Calculated values
The calculation puts the energy of formation from the pure elements at -411 meV per atom. Its crystal system is cubic. The density of states at the Fermi level is 3.5 states/eV/f.u. The symmetry is No. 216.

```
LaErCdPb
1.0
-1.905 -5.006 -1.065
3.407 -4.268 -0.033
-0.255 -3.729 3.982
Pb Cd La Er
1 1 1 1
Direct
0.250 0.250 0.250
0.750 0.750 0.750
0.000 0.000 0.000
0.500 0.500 0.500
```

---

No. 18
LaErCdPd | PBE-GGA | relaxed

Calculated values
The calculation puts the energy of formation from the pure elements at -498 meV per atom. Its crystal system is cubic. The density of states at the Fermi level is 3.6 states/eV/f.u. The symmetry is No. 216.

```
LaErCdPd
1.0
-0.761 4.232 -3.000
-4.586 2.536 0.160
-0.293 4.752 2.197
Cd La Pd Er
1 1 1 1
Direct
0.750 0.750 0.750
0.000 0.000 0.000
0.250 0.250 0.250
0.500 0.500 0.500
```

---

No. 19
LaPmErCd | PBE-GGA | relaxed

Calculated values
As for the energy above the most stable polymorph in this dataset: 0.00 eV/f.u. The calculation puts the energy of formation from the pure elements at -143 meV per atom. Its crystal system is tetragonal. The density of states at the Fermi level is 5.5 states/eV/f.u. The symmetry is No. 99.

```
LaPmErCd
1.0
3.689 0.000 0.000
0.000 3.689 0.000
0.000 0.000 9.062
La Pm Er Cd
1 1 1 1
Direct
0.000 0.000 0.079
0.500 0.500 0.791
0.500 0.500 0.355
0.000 0.000 0.560
```

---

No. 20
LaPmErCd | PBE-GGA | relaxed

Calculated values
As for the energy above the most stable polymorph in this dataset: 0.34 eV/f.u. The calculation puts the energy of formation from the pure elements at -58 meV per atom. Its crystal system is cubic. The density of states at the Fermi level is 5.5 states/eV/f.u. The symmetry is No. 216.

```
LaPmErCd
1.0
-4.617 2.261 2.168
-4.582 -3.113 0.667
-1.671 -1.442 5.124
Cd Pm La Er
1 1 1 1
Direct
0.750 0.750 0.750
0.000 0.000 0.000
0.500 0.500 0.500
0.250 0.250 0.250
```

---

No. 21
LaErCdPt | PBE-GGA | relaxed

Calculated values
The calculation puts the energy of formation from the pure elements at -660 meV per atom. Its crystal system is cubic. The density of states at the Fermi level is 3.5 states/eV/f.u. The symmetry is No. 216.

```
LaErCdPt
1.0
5.211 0.000 0.000
2.606 4.513 0.000
2.606 1.504 4.255
Cd La Pt Er
1 1 1 1
Direct
0.250 0.250 0.250
0.500 0.500 0.500
0.750 0.750 0.750
0.000 0.000 0.000
```

---

No. 22
LaErPuCd | PBE-GGA | relaxed

Calculated values
The calculation puts the energy of formation from the pure elements at 67 meV per atom. Its crystal system is cubic. The density of states at the Fermi level is 16.5 states/eV/f.u. The symmetry is No. 216.

```
LaErPuCd
1.0
-0.511 -5.249 -1.499
3.601 -2.217 -3.490
3.608 -3.724 1.782
Cd Er La Pu
1 1 1 1
Direct
0.750 0.750 0.750
0.000 0.000 0.000
0.500 0.500 0.500
0.250 0.250 0.250
```

---

No. 23
LaErCdRu | PBE-GGA | relaxed

Calculated values
As for the energy above the most stable polymorph in this dataset: 0.47 eV/f.u. The calculation puts the energy of formation from the pure elements at -214 meV per atom. Its crystal system is cubic. The density of states at the Fermi level is 3.5 states/eV/f.u. The symmetry is No. 216.

```
LaErCdRu
1.0
-1.834 -1.932 4.399
2.272 -4.075 2.164
2.666 0.558 4.363
Cd La Ru Er
1 1 1 1
Direct
0.250 0.250 0.250
0.500 0.500 0.500
0.750 0.750 0.750
0.000 0.000 0.000
```

---

No. 24
LaErCdRu | PBE-GGA | relaxed

Calculated values
As for the energy above the most stable polymorph in this dataset: 0.00 eV/f.u. The calculation puts the energy of formation from the pure elements at -332 meV per atom. Its crystal system is tetragonal. The density of states at the Fermi level is 4.5 states/eV/f.u. The symmetry is No. 99.

```
LaErCdRu
1.0
3.507 0.000 0.000
0.000 3.507 0.000
0.000 0.000 7.925
La Er Cd Ru
1 1 1 1
Direct
0.500 0.500 0.784
0.500 0.500 0.355
0.000 0.000 0.094
0.000 0.000 0.552
```

---

No. 25
LaErScCd | PBE-GGA | relaxed

Calculated values
The calculation puts the energy of formation from the pure elements at -48 meV per atom. Its crystal system is cubic. The density of states at the Fermi level is 5.2 states/eV/f.u. The symmetry is No. 216.

```
LaErScCd
1.0
5.433 0.000 0.000
2.717 4.705 0.000
2.717 1.568 4.436
Sc Cd La Er
1 1 1 1
Direct
0.250 0.250 0.250
0.750 0.750 0.750
0.500 0.500 0.500
0.000 0.000 0.000
```

---

No. 26
LaErSc2Cd4 | PBE-GGA | relaxed

Calculated values
The calculation puts the energy of formation from the pure elements at -274 meV per atom. Its crystal system is trigonal. The density of states at the Fermi level is 8.4 states/eV/f.u. The symmetry is No. 166.

```
LaErSc2Cd4
1.0
-3.859 -1.770 3.017
0.161 -4.868 1.845
2.942 0.567 8.591
La Er Sc Cd
1 1 2 4
Direct
0.000 0.000 0.000
0.500 0.500 0.500
0.752 0.752 0.745
0.248 0.248 0.255
0.380 0.380 0.861
0.872 0.872 0.383
0.128 0.128 0.617
0.620 0.620 0.139
```